A geometry-optimized BeTl2Cr structure. Source: Alexandria via LeMat-Bulk, functional PBE.

a = 3.1594 Å, b = 3.1594 Å, c = 8.1277 Å
α = 90.00°, β = 90.00°, γ = 90.00°
Last column: nearest neighbours and their distance in Å.
Element x y z (fractional)
Be 0.0000 0.0000 0.0000  4 Cr 2.42
Tl 0.0000 0.0000 0.3701  1 Be 3.01, 4 Cr 3.06, 4 Tl 3.16
Tl 0.5000 0.5000 0.7376  1 Cr 3.05, 4 Be 3.09, 4 Tl 3.16
Cr 0.5000 0.5000 0.1131  4 Be 2.42

Properties
Space group   P4mm
E_form   0.53 eV per atom